Record 1
## YMgSe2 (PBE-GGA)

Data for crystalline YMgSe2 at its relaxed geometry.

Properties
Magnetization   0.00 Bohr magnetons per cell
DFT total energy   -16.76 eV for the cell shown
Density   4.8 g cm⁻³
Space group   F-43m (216)

Unit cell a=5.0870 b=5.0870 c=5.0870 alpha=60.00 beta=60.00 gamma=60.00
Atoms (fractional coordinates):
Y1 0.0000 0.0000 0.0000
Mg1 0.7500 0.7500 0.7500
Se1 0.2500 0.2500 0.2500
Se2 0.5000 0.5000 0.5000


Record 2
## YMgSe3 (PBE-GGA)

Data for crystalline YMgSe3 at its relaxed geometry.

Properties
Magnetization   0.00 Bohr magnetons per cell
Energy above the most stable polymorph in this dataset   81 meV per atom
DFT total energy   -48.65 eV for the cell shown
Density   4.1 g cm⁻³
Space group   C2/m (12)

Unit cell a=7.2966 b=7.2966 c=6.6035 alpha=107.50 beta=107.50 gamma=109.25
Atoms (fractional coordinates):
Y1 0.2270 0.2270 0.2117
Y2 0.7730 0.7730 0.7883
Mg1 0.3312 0.6688 0.0000
Mg2 0.6688 0.3312 0.0000
Se1 0.1172 0.8099 0.2115
Se2 0.1901 0.8828 0.7885
Se3 0.4118 0.4118 0.7038
Se4 0.5882 0.5882 0.2962
Se5 0.8099 0.1172 0.2115
Se6 0.8828 0.1901 0.7885


Record 3
## Y2MgSe (PBE-GGA)

Data for crystalline Y2MgSe at its relaxed geometry.

Properties
Magnetization   0.00 Bohr magnetons per cell
Energy above the most stable polymorph in this dataset   184 meV per atom
DFT total energy   -20.71 eV for the cell shown
Density   4.4 g cm⁻³
Space group   P4mm (99)

Unit cell a=4.2130 b=4.2130 c=6.0452 alpha=90.00 beta=90.00 gamma=90.00
Atoms (fractional coordinates):
Y1 0.0000 0.0000 0.0000
Y2 0.5000 0.5000 0.4973
Mg1 0.0000 0.0000 0.5000
Se1 0.5000 0.5000 0.9978


Record 4
## YMg2Se2 (PBE-GGA)

Data for crystalline YMg2Se2 at its relaxed geometry.

Properties
Magnetization   0.00 Bohr magnetons per cell
Energy above the most stable polymorph in this dataset   0 meV per atom
DFT total energy   -20.15 eV for the cell shown
Density   4.2 g cm⁻³
Space group   I4/mmm (139)

Unit cell a=5.8749 b=5.8749 c=5.8749 alpha=129.58 beta=129.58 gamma=74.07
Atoms (fractional coordinates):
Y1 0.0000 0.0000 0.0000
Mg1 0.3528 0.3528 0.0000
Mg2 0.6472 0.6472 0.0000
Se1 0.2500 0.7500 0.5000
Se2 0.7500 0.2500 0.5000


Record 5
## YMgSe (PBE-GGA)

Data for crystalline YMgSe at its relaxed geometry.

Properties
Magnetization   0.58 Bohr magnetons per cell
Energy above the most stable polymorph in this dataset   672 meV per atom
DFT total energy   -12.38 eV for the cell shown
Density   3.7 g cm⁻³
Space group   F-43m (216)

Unit cell a=4.9761 b=4.9761 c=4.9761 alpha=60.00 beta=60.00 gamma=60.00
Atoms (fractional coordinates):
Y1 0.0000 0.0000 0.0000
Mg1 0.2500 0.2500 0.2500
Se1 0.7500 0.7500 0.7500


Record 6
## Y2MgSe4 (PBE-GGA)

Data for crystalline Y2MgSe4 at its relaxed geometry.

Properties
Magnetization   0.00 Bohr magnetons per cell
Energy above the most stable polymorph in this dataset   18 meV per atom
DFT total energy   -161.22 eV for the cell shown
Density   4.3 g cm⁻³
Space group   Pnma (62)

Unit cell a=14.1695 b=8.2452 c=6.8532 alpha=90.00 beta=90.00 gamma=90.00
Atoms (fractional coordinates):
Y1 0.0000 0.0000 0.0000
Y2 0.0000 0.5000 0.0000
Y3 0.2348 0.2500 0.4965
Y4 0.2652 0.7500 0.9965
Y5 0.5000 0.0000 0.5000
Y6 0.5000 0.5000 0.5000
Y7 0.7348 0.2500 0.0035
Y8 0.7652 0.7500 0.5035
Mg1 0.0934 0.7500 0.4136
Mg2 0.4066 0.2500 0.9136
Mg3 0.5934 0.7500 0.0864
Mg4 0.9066 0.2500 0.5864
Se1 0.0731 0.2500 0.7480
Se2 0.0901 0.7500 0.7841
Se3 0.1703 0.5058 0.2351
Se4 0.1703 0.9942 0.2351
Se5 0.3297 0.0058 0.7351
Se6 0.3297 0.4942 0.7351
Se7 0.4099 0.2500 0.2841
Se8 0.4269 0.7500 0.2480
Se9 0.5731 0.2500 0.7520
Se10 0.5901 0.7500 0.7159
Se11 0.6703 0.5058 0.2649
Se12 0.6703 0.9942 0.2649
Se13 0.8297 0.0058 0.7649
Se14 0.8297 0.4942 0.7649
Se15 0.9099 0.2500 0.2159
Se16 0.9269 0.7500 0.2520


Record 7
## YMgSe3 (PBE-GGA)

Data for crystalline YMgSe3 at its relaxed geometry.

Properties
Magnetization   0.00 Bohr magnetons per cell
Energy above the most stable polymorph in this dataset   687 meV per atom
DFT total energy   -21.30 eV for the cell shown
Density   3.6 g cm⁻³
Space group   Pm-3m (221)

Unit cell a=5.4372 b=5.4372 c=5.4372 alpha=90.00 beta=90.00 gamma=90.00
Atoms (fractional coordinates):
Y1 0.0000 0.0000 0.0000
Mg1 0.5000 0.5000 0.5000
Se1 0.0000 0.0000 0.5000
Se2 0.0000 0.5000 0.0000
Se3 0.5000 0.0000 0.0000


Record 8
## Yb2MgSe4 (PBE-GGA)

Data for crystalline Yb2MgSe4 at its relaxed geometry.

Properties
Magnetization   0.15 Bohr magnetons per cell
Energy above the most stable polymorph in this dataset   70 meV per atom
DFT total energy   -111.49 eV for the cell shown
Density   6.1 g cm⁻³
Space group   Pnma (62)

Unit cell a=9.8280 b=5.4675 c=13.8958 alpha=90.00 beta=90.00 gamma=90.00
Atoms (fractional coordinates):
Yb1 0.0303 0.2500 0.2208
Yb2 0.1262 0.2500 0.5789
Yb3 0.3738 0.7500 0.0789
Yb4 0.4697 0.7500 0.7208
Yb5 0.5303 0.2500 0.2792
Yb6 0.6262 0.2500 0.9211
Yb7 0.8738 0.7500 0.4211
Yb8 0.9697 0.7500 0.7792
Mg1 0.1659 0.2500 0.9829
Mg2 0.3341 0.7500 0.4829
Mg3 0.6659 0.2500 0.5171
Mg4 0.8341 0.7500 0.0171
Se1 0.0518 0.7500 0.1132
Se2 0.1428 0.0012 0.3914
Se3 0.1428 0.4988 0.3914
Se4 0.2009 0.7500 0.6480
Se5 0.2991 0.2500 0.1480
Se6 0.3572 0.5012 0.8914
Se7 0.3572 0.9988 0.8914
Se8 0.4482 0.2500 0.6132
Se9 0.5518 0.7500 0.3868
Se10 0.6428 0.0012 0.1086
Se11 0.6428 0.4988 0.1086
Se12 0.7009 0.7500 0.8520
Se13 0.7991 0.2500 0.3520
Se14 0.8572 0.5012 0.6086
Se15 0.8572 0.9988 0.6086
Se16 0.9482 0.2500 0.8868


Record 9
## YbMgSe3 (PBE-GGA)

Data for crystalline YbMgSe3 at its relaxed geometry.

Properties
Magnetization   0.00 Bohr magnetons per cell
Energy above the most stable polymorph in this dataset   74 meV per atom
DFT total energy   -37.63 eV for the cell shown
Density   5.5 g cm⁻³
Space group   R-3 (148)

Unit cell a=7.3633 b=7.3633 c=7.3633 alpha=57.08 beta=57.08 gamma=57.08
Atoms (fractional coordinates):
Yb1 0.1553 0.1553 0.1553
Yb2 0.8447 0.8447 0.8447
Mg1 0.3466 0.3466 0.3466
Mg2 0.6534 0.6534 0.6534
Se1 0.0622 0.4358 0.7398
Se2 0.2602 0.9378 0.5642
Se3 0.4358 0.7398 0.0622
Se4 0.5642 0.2602 0.9378
Se5 0.7398 0.0622 0.4358
Se6 0.9378 0.5642 0.2602


Record 10
## YbMgSe3 (PBE-GGA)

Data for crystalline YbMgSe3 at its relaxed geometry.

Properties
Magnetization   0.43 Bohr magnetons per cell
Energy above the most stable polymorph in this dataset   34 meV per atom
DFT total energy   -38.03 eV for the cell shown
Density   5.5 g cm⁻³
Space group   C2/m (12)

Unit cell a=7.6204 b=7.6204 c=5.5301 alpha=95.65 beta=95.65 gamma=122.75
Atoms (fractional coordinates):
Yb1 0.1594 0.1594 0.3004
Yb2 0.8406 0.8406 0.6996
Mg1 0.3349 0.6651 0.0000
Mg2 0.6651 0.3349 0.0000
Se1 0.0199 0.4382 0.2964
Se2 0.2595 0.2595 0.8318
Se3 0.4382 0.0199 0.2964
Se4 0.5618 0.9801 0.7036
Se5 0.7405 0.7405 0.1682
Se6 0.9801 0.5618 0.7036


Record 11
## Yb2MgSe4 (PBE-GGA)

Data for crystalline Yb2MgSe4 at its relaxed geometry.

Properties
Magnetization   1.50 Bohr magnetons per cell
Energy above the most stable polymorph in this dataset   0 meV per atom
DFT total energy   -56.72 eV for the cell shown
Density   5.8 g cm⁻³
Space group   Fd-3m (227)

Unit cell a=8.2334 b=8.2334 c=8.2334 alpha=60.00 beta=60.00 gamma=60.00
Atoms (fractional coordinates):
Yb1 0.0000 0.0000 0.0000
Yb2 0.0000 0.0000 0.5000
Yb3 0.0000 0.5000 0.0000
Yb4 0.5000 0.0000 0.0000
Mg1 0.3750 0.3750 0.3750
Mg2 0.6250 0.6250 0.6250
Se1 0.2387 0.7538 0.7538
Se2 0.2462 0.2462 0.2462
Se3 0.2462 0.2462 0.7613
Se4 0.2462 0.7613 0.2462
Se5 0.7538 0.2387 0.7538
Se6 0.7538 0.7538 0.2387
Se7 0.7538 0.7538 0.7538
Se8 0.7613 0.2462 0.2462


Record 12
## YbMgSe3 (PBE-GGA)

Data for crystalline YbMgSe3 at its relaxed geometry.

Properties
Magnetization   0.51 Bohr magnetons per cell
Energy above the most stable polymorph in this dataset   0 meV per atom
DFT total energy   -38.37 eV for the cell shown
Density   5.7 g cm⁻³
Space group   C2/m (12)

Unit cell a=5.9308 b=5.9308 c=7.7581 alpha=102.85 beta=102.85 gamma=99.11
Atoms (fractional coordinates):
Yb1 0.2266 0.2266 0.4754
Yb2 0.7734 0.7734 0.5246
Mg1 0.3100 0.6900 0.0000
Mg2 0.6900 0.3100 0.0000
Se1 0.0346 0.7386 0.2329
Se2 0.2614 0.9654 0.7671
Se3 0.4217 0.4217 0.2285
Se4 0.5783 0.5783 0.7715
Se5 0.7386 0.0346 0.2329
Se6 0.9654 0.2614 0.7671